No. 1
Density functional theory data (GGA-PBEsol) for a relaxed structure of Ta2Fe.

Cell and atoms, written as POSCAR:
```
Ta2Fe
1.0
-1.400 1.400 11.886
1.400 -1.400 11.886
1.400 1.400 -11.886
Ta Fe
4 2
Direct
0.305 0.555 0.750
0.445 0.695 0.750
0.555 0.305 0.250
0.695 0.445 0.250
0.125 0.875 0.250
0.875 0.125 0.750
```

E_form ... 0.2243 eV/atom


No. 2
Density functional theory data (GGA-PBEsol) for a relaxed structure of MgGa2.

Cell and atoms, written as POSCAR:
```
MgGa2
1.0
2.763 -4.761 0.000
2.763 4.761 0.000
0.000 0.000 8.456
Mg Ga
4 8
Direct
0.167 0.833 0.566
0.167 0.833 0.934
0.833 0.167 0.066
0.833 0.167 0.434
0.152 0.327 0.750
0.327 0.152 0.250
0.327 0.673 0.250
0.500 0.500 0.000
0.500 0.500 0.500
0.673 0.327 0.750
0.673 0.848 0.750
0.848 0.673 0.250
```

E_form ... -0.0957 eV/atom


Please write out number 1 again, unchanged.
Density functional theory data (GGA-PBEsol) for a relaxed structure of Ta2Fe.

Cell and atoms, written as POSCAR:
```
Ta2Fe
1.0
-1.400 1.400 11.886
1.400 -1.400 11.886
1.400 1.400 -11.886
Ta Fe
4 2
Direct
0.305 0.555 0.750
0.445 0.695 0.750
0.555 0.305 0.250
0.695 0.445 0.250
0.125 0.875 0.250
0.875 0.125 0.750
```

E_form ... 0.2243 eV/atom


Question: What is the E_form in the first record?
Answer: 0.2243 eV/atom